A plane-wave DFT calculation with GGA-PBE was carried out for crystalline In10OsSe10 at its relaxed geometry.

a = 12.3186 Å, b = 12.3525 Å, c = 8.0944 Å
α = 90.00°, β = 90.00°, γ = 90.00°
Closest atoms and distances in Å follow each position.
Sites, in units of the cell vectors:
1 In 0.0000 0.0000 0.1964  4 Se 2.65-2.68
2 In 0.0000 0.0000 0.8036  4 Se 2.65-2.68
3 In 0.0445 0.3681 0.2475  1 Os 2.64, 2 Se 2.78-2.81
4 In 0.0445 0.3681 0.7525  1 Os 2.64, 2 Se 2.78-2.81
5 In 0.2087 0.5435 0.0000  1 Os 2.63, 3 Se 2.83-2.91
6 In 0.2302 0.6097 0.5000  4 Se 2.57-2.64
7 In 0.2698 0.1097 0.5000  4 Se 2.57-2.64
8 In 0.2913 0.0435 0.0000  1 Os 2.63, 3 Se 2.83-2.91
9 In 0.4555 0.8681 0.2475  1 Os 2.64, 2 Se 2.78-2.81
10 In 0.4555 0.8681 0.7525  1 Os 2.64, 2 Se 2.78-2.81
11 In 0.5000 0.5000 0.1964  4 Se 2.65-2.68
12 In 0.5000 0.5000 0.8036  4 Se 2.65-2.68
13 In 0.5445 0.1319 0.2475  1 Os 2.64, 2 Se 2.78-2.81
14 In 0.5445 0.1319 0.7525  1 Os 2.64, 2 Se 2.78-2.81
15 In 0.7087 0.9565 0.0000  1 Os 2.63, 3 Se 2.83-2.91
16 In 0.7302 0.8903 0.5000  4 Se 2.57-2.64
17 In 0.7698 0.3903 0.5000  4 Se 2.57-2.64
18 In 0.7913 0.4565 0.0000  1 Os 2.63, 3 Se 2.83-2.91
19 In 0.9555 0.6319 0.2475  1 Os 2.64, 2 Se 2.78-2.81
20 In 0.9555 0.6319 0.7525  1 Os 2.64, 2 Se 2.78-2.81
21 Os 0.0000 0.5000 0.0000  6 In 2.63-2.64
22 Os 0.5000 0.0000 0.0000  6 In 2.63-2.64
23 Se 0.0655 0.7377 0.5000  3 In 2.57-2.78
24 Se 0.1285 0.8817 0.0000  3 In 2.68-2.83
25 Se 0.1505 0.1514 0.2373  3 In 2.64-2.91
26 Se 0.1505 0.1514 0.7627  3 In 2.64-2.91
27 Se 0.1960 0.4049 0.5000  3 In 2.57-2.81
28 Se 0.3040 0.9049 0.5000  3 In 2.57-2.81
29 Se 0.3495 0.6514 0.2373  3 In 2.64-2.91
30 Se 0.3495 0.6514 0.7627  3 In 2.64-2.91
31 Se 0.3715 0.3817 0.0000  3 In 2.68-2.83
32 Se 0.4345 0.2377 0.5000  3 In 2.57-2.78
33 Se 0.5655 0.7623 0.5000  3 In 2.57-2.78
34 Se 0.6285 0.6183 0.0000  3 In 2.68-2.83
35 Se 0.6505 0.3486 0.2373  3 In 2.64-2.91
36 Se 0.6505 0.3486 0.7627  3 In 2.64-2.91
37 Se 0.6960 0.0951 0.5000  3 In 2.57-2.81
38 Se 0.8040 0.5951 0.5000  3 In 2.57-2.81
39 Se 0.8495 0.8486 0.2373  3 In 2.64-2.91
40 Se 0.8495 0.8486 0.7627  3 In 2.64-2.91
41 Se 0.8715 0.1183 0.0000  3 In 2.68-2.83
42 Se 0.9345 0.2623 0.5000  3 In 2.57-2.78

Calculated values
The space group is Pbam.

***

A plane-wave DFT calculation with GGA-PBE was carried out for crystalline Zr3Al3NiAu2 at its relaxed geometry.

a = 6.7884 Å, b = 6.7884 Å, c = 4.0621 Å
α = 90.00°, β = 90.00°, γ = 120.00°
Closest atoms and distances in Å follow each position.
Sites, in units of the cell vectors:
1 Zr 0.0000 0.3965 0.0000  1 Ni 2.69, 4 Au 2.91
2 Zr 0.3965 0.0000 0.0000  1 Ni 2.69, 4 Au 2.91
3 Zr 0.6035 0.6035 0.0000  1 Ni 2.69, 4 Au 2.91
4 Al 0.0000 0.7628 0.5000  2 Ni 2.59, 2 Au 2.65, 2 Al 2.79
5 Al 0.2372 0.2372 0.5000  2 Ni 2.59, 2 Au 2.65, 2 Al 2.79
6 Al 0.7628 0.0000 0.5000  2 Ni 2.59, 2 Au 2.65, 2 Al 2.79
7 Ni 0.0000 0.0000 0.0000  6 Al 2.59, 3 Zr 2.69
8 Au 0.3333 0.6667 0.5000  3 Al 2.65, 6 Zr 2.91
9 Au 0.6667 0.3333 0.5000  3 Al 2.65, 6 Zr 2.91

Calculated values
The space group is P-62m.

***

A plane-wave DFT calculation with GGA-PBE was carried out for crystalline LaErIn at its relaxed geometry.

a = 5.2906 Å, b = 5.2906 Å, c = 5.2906 Å
α = 60.00°, β = 60.00°, γ = 60.00°
Closest atoms and distances in Å follow each position.
Sites, in units of the cell vectors:
1 La 0.0000 0.0000 0.0000  4 In 3.24
2 Er 0.5000 0.5000 0.5000  4 In 3.24
3 In 0.7500 0.7500 0.7500  4 Er 3.24, 4 La 3.24

Calculated values
The space group is F-43m.

***

A plane-wave DFT calculation with GGA-PBE was carried out for crystalline PrHoTlNi2 at its relaxed geometry.

a = 3.7407 Å, b = 7.6049 Å, c = 7.6049 Å
α = 30.24°, β = 90.00°, γ = 90.00°
Closest atoms and distances in Å follow each position.
Sites, in units of the cell vectors:
1 Pr 0.0000 0.0000 0.0000  6 Ni 2.91-3.06
2 Ho 0.0000 0.7228 0.7228  6 Ni 2.85-2.92
3 Tl 0.5000 0.3573 0.3573  2 Ni 2.82-3.12
4 Ni 0.5000 0.1653 0.1653  2 Ni 2.43
5 Ni 0.5000 0.5700 0.5700  2 Ni 2.43

Calculated values
The space group is Amm2.

***

A plane-wave DFT calculation with GGA-PBE was carried out for crystalline LiBeIrW at its relaxed geometry.

a = 4.1773 Å, b = 4.1773 Å, c = 4.1773 Å
α = 60.00°, β = 60.00°, γ = 60.00°
Closest atoms and distances in Å follow each position.
Sites, in units of the cell vectors:
1 Li 0.0000 0.0000 0.0000  4 Ir 2.56, 4 Be 2.56
2 Be 0.2500 0.2500 0.2500  4 W 2.56, 4 Li 2.56
3 Ir 0.7500 0.7500 0.7500  4 W 2.56, 4 Li 2.56
4 W 0.5000 0.5000 0.5000  4 Ir 2.56, 4 Be 2.56

Calculated values
The space group is F-43m.

***

A plane-wave DFT calculation with GGA-PBE was carried out for crystalline FeCuBW at its relaxed geometry.

a = 3.9877 Å, b = 3.9877 Å, c = 3.9877 Å
α = 60.00°, β = 60.00°, γ = 60.00°
Closest atoms and distances in Å follow each position.
Sites, in units of the cell vectors:
1 Fe 0.0000 0.0000 0.0000  4 W 2.44, 4 Cu 2.44
2 Cu 0.7500 0.7500 0.7500  4 B 2.44, 4 Fe 2.44
3 B 0.5000 0.5000 0.5000  4 Cu 2.44, 4 W 2.44
4 W 0.2500 0.2500 0.2500  4 B 2.44, 4 Fe 2.44

Calculated values
The space group is F-43m.

***

Results for total DFT energy (no corrections): -3.8769; -6.0944; -4.1809; -4.9982; -6.9527; -7.4666 (in eV per atom, following the order of the records).